Record 1
DFT (PBE-GGA) results for an optimized crystal structure of ScGeN2.

E_form (uncorrected): 0.16 eV per atom

Structure (POSCAR):
```
ScGeN2
1.0
1.564 0.903 6.141
-1.564 0.903 6.141
0.000 -1.806 6.141
Sc Ge N
1 1 2
Direct
0.000 0.000 0.000 Sc
0.500 0.500 0.500 Ge
0.112 0.112 0.112 N
0.888 0.888 0.888 N
```

Record 2
DFT (PBE-GGA) results for an optimized crystal structure of KPuTe3Pb.

E_form (uncorrected): -0.80 eV per atom

Structure (POSCAR):
```
KPuTe3Pb
1.0
9.698 0.000 0.000
0.000 4.539 0.000
-2.357 0.000 10.610
K Pu Te Pb
2 2 6 2
Direct
0.177 0.250 0.202 K
0.823 0.750 0.798 K
0.357 0.750 0.846 Pu
0.643 0.250 0.154 Pu
0.124 0.250 0.830 Te
0.348 0.750 0.555 Te
0.423 0.750 0.137 Te
0.577 0.250 0.863 Te
0.652 0.250 0.445 Te
0.876 0.750 0.170 Te
0.139 0.250 0.556 Pb
0.861 0.750 0.444 Pb
```

Record 3
DFT (PBE-GGA) results for an optimized crystal structure of Cs2TlGeBr6.

E_form (uncorrected): -1.11 eV per atom
ΔE to the lowest computed polymorph: 0.0 meV per atom

Structure (POSCAR):
```
Cs2TlGeBr6
1.0
-4.082 4.082 5.754
4.082 -4.082 5.754
4.082 4.082 -5.754
Cs Tl Ge Br
2 1 1 6
Direct
0.250 0.750 0.500 Cs
0.750 0.250 0.500 Cs
0.000 0.000 0.000 Tl
0.500 0.500 0.000 Ge
0.267 0.267 0.000 Br
0.267 0.267 0.534 Br
0.267 0.733 0.000 Br
0.733 0.267 0.000 Br
0.733 0.733 0.000 Br
0.733 0.733 0.466 Br
```

Record 4
DFT (PBE-GGA) results for an optimized crystal structure of Nd10Tm6Mg.

E_form: 2.1 eV per formula unit

Structure (POSCAR):
```
Nd10Tm6Mg
1.0
9.764 0.000 0.000
-4.882 8.456 0.000
0.000 0.000 6.860
Nd Tm Mg
10 6 1
Direct
0.000 0.268 0.317 Nd
0.000 0.732 0.683 Nd
0.268 0.000 0.317 Nd
0.268 0.268 0.683 Nd
0.333 0.667 0.000 Nd
0.333 0.667 0.500 Nd
0.667 0.333 0.000 Nd
0.667 0.333 0.500 Nd
0.732 0.000 0.683 Nd
0.732 0.732 0.317 Nd
0.000 0.371 0.813 Tm
0.000 0.629 0.187 Tm
0.371 0.000 0.813 Tm
0.371 0.371 0.187 Tm
0.629 0.000 0.187 Tm
0.629 0.629 0.813 Tm
0.000 0.000 0.000 Mg
```

Per-record V, Å³ per cell: 52.0 467.1 383.6 566.5